(1)
## CeDy4Ho5 (PBE)

Data for CeDy4Ho5 after structural relaxation.

Values from the calculation:
For the energy above the most stable polymorph in this dataset, the calculation gives 0.156 eV/atom. The symmetry is I4mm. The volume is 31.96 A^3/atom.

Unit cell a=5.835 b=7.956 c=7.956 alpha=82.27 beta=68.49 gamma=68.49
Positions (direct):
1 Ho 0.669 0.000 0.000
2 Ce 0.201 0.000 0.000
3 Dy 0.454 0.326 0.674
4 Dy 0.454 0.674 0.326
5 Ho 0.143 0.627 0.000
6 Dy 0.780 0.674 0.674
7 Dy 0.128 0.326 0.326
8 Ho 0.143 0.000 0.627
9 Ho 0.770 0.000 0.373
10 Ho 0.770 0.373 0.000

=====

(2)
## CeDy8Ho2 (PBE)

Data for CeDy8Ho2 after structural relaxation.

Values from the calculation:
For the energy above the most stable polymorph in this dataset, the calculation gives 0.000 eV/atom. The symmetry is C2/m. The volume is 31.33 A^3/atom.

Unit cell a=5.001 b=7.911 c=9.367 alpha=104.68 beta=105.48 gamma=90.00
Positions (direct):
1 Ce 0.500 0.000 0.000
2 Dy 0.319 0.092 0.639
3 Dy 0.681 0.908 0.361
4 Dy 0.045 0.730 0.090
5 Dy 0.591 0.455 0.182
6 Dy 0.136 0.181 0.272
7 Dy 0.864 0.819 0.728
8 Dy 0.955 0.270 0.910
9 Ho 0.772 0.363 0.543
10 Dy 0.409 0.545 0.818
11 Ho 0.228 0.637 0.457

=====

(3)
## CeDy12Ho6 (PBE)

Data for CeDy12Ho6 after structural relaxation.

Values from the calculation:
The symmetry is R-3m. The volume is 32.64 A^3/atom.

Unit cell a=8.658 b=8.658 c=8.658 alpha=99.31 beta=99.31 gamma=99.31
Positions (direct):
1 Dy 0.649 0.649 0.921
2 Dy 0.649 0.921 0.649
3 Dy 0.243 0.500 0.757
4 Dy 0.243 0.757 0.500
5 Ho 0.103 0.103 0.663
6 Dy 0.500 0.757 0.243
7 Dy 0.921 0.649 0.649
8 Dy 0.079 0.351 0.351
9 Dy 0.500 0.243 0.757
10 Ho 0.897 0.897 0.337
11 Ce 0.000 0.000 0.000
12 Ho 0.897 0.337 0.897
13 Ho 0.337 0.897 0.897
14 Dy 0.351 0.351 0.079
15 Dy 0.757 0.243 0.500
16 Ho 0.663 0.103 0.103
17 Dy 0.757 0.500 0.243
18 Ho 0.103 0.663 0.103
19 Dy 0.351 0.079 0.351

=====

(4)
## CeDy4Ho4 (PBE)

Data for CeDy4Ho4 after structural relaxation.

Values from the calculation:
For the energy above the most stable polymorph in this dataset, the calculation gives 0.029 eV/atom. The symmetry is I4/m. The volume is 31.30 A^3/atom.

Unit cell a=3.630 b=8.995 c=8.995 alpha=87.67 beta=78.36 gamma=78.36
Positions (direct):
1 Ho 0.687 0.960 0.665
2 Ho 0.313 0.040 0.335
3 Ce 0.000 0.000 0.000
4 Dy 0.961 0.704 0.374
5 Dy 0.335 0.626 0.704
6 Ho 0.353 0.335 0.960
7 Ho 0.647 0.665 0.040
8 Dy 0.039 0.296 0.626
9 Dy 0.665 0.374 0.296

=====

(5)
## Ce2Dy6Ho5 (PBE)

Data for Ce2Dy6Ho5 after structural relaxation.

Values from the calculation:
The symmetry is Pbam. The volume is 31.72 A^3/atom.

Unit cell a=3.530 b=11.358 c=20.566 alpha=90.00 beta=90.00 gamma=90.00
Positions (direct):
1 Dy 0.000 0.584 0.438
2 Dy 0.000 0.932 0.646
3 Dy 0.500 0.683 0.876
4 Ho 0.500 0.314 0.421
5 Dy 0.000 0.416 0.562
6 Ce 0.000 0.810 0.234
7 Ce 0.000 0.310 0.266
8 Dy 0.000 0.068 0.354
9 Dy 0.500 0.317 0.124
10 Dy 0.000 0.084 0.062
11 Ho 0.500 0.814 0.079
12 Dy 0.000 0.568 0.146
13 Ho 0.500 0.500 0.000
14 Ce 0.000 0.690 0.734
15 Dy 0.500 0.183 0.624
16 Ce 0.000 0.190 0.766
17 Dy 0.500 0.817 0.376
18 Ho 0.500 0.434 0.707
19 Ho 0.500 0.686 0.579
20 Ho 0.500 0.066 0.207
21 Ho 0.500 0.934 0.793
22 Dy 0.000 0.916 0.938
23 Ho 0.500 0.186 0.921
24 Dy 0.000 0.432 0.854
25 Ho 0.500 0.566 0.293
26 Ho 0.500 0.000 0.500

=====

(6)
## CeDy2Ho6 (PBE)

Data for CeDy2Ho6 after structural relaxation.

Values from the calculation:
For the energy above the most stable polymorph in this dataset, the calculation gives 0.000 eV/atom. The symmetry is C2/c. The volume is 31.89 A^3/atom.

Unit cell a=6.130 b=6.129 c=17.879 alpha=110.95 beta=110.95 gamma=92.64
Positions (direct):
1 Ho 0.017 0.622 0.885
2 Ho 0.240 0.307 0.477
3 Ce 0.971 0.029 0.250
4 Ho 0.307 0.240 0.977
5 Dy 0.567 0.577 0.686
6 Ho 0.622 0.017 0.385
7 Ho 0.693 0.760 0.023
8 Ho 0.760 0.693 0.523
9 Dy 0.433 0.423 0.314
10 Ho 0.687 0.039 0.882
11 Ho 0.961 0.313 0.618
12 Ho 0.039 0.687 0.382
13 Ho 0.983 0.378 0.115
14 Ce 0.029 0.971 0.750
15 Dy 0.577 0.567 0.186
16 Ho 0.313 0.961 0.118
17 Ho 0.378 0.983 0.615
18 Dy 0.423 0.433 0.814

=====

(7)
## Ce2Dy5Ho6 (PBE)

Data for Ce2Dy5Ho6 after structural relaxation.

Values from the calculation:
The symmetry is Pbam. The volume is 31.69 A^3/atom.

Unit cell a=3.524 b=11.348 c=20.600 alpha=90.00 beta=90.00 gamma=90.00
Positions (direct):
1 Ho 0.000 0.067 0.353
2 Ho 0.000 0.933 0.647
3 Ho 0.000 0.416 0.562
4 Ce 0.000 0.190 0.765
5 Dy 0.500 0.935 0.794
6 Dy 0.500 0.435 0.706
7 Dy 0.500 0.065 0.206
8 Dy 0.500 0.314 0.421
9 Ce 0.000 0.310 0.265
10 Ho 0.000 0.567 0.147
11 Ho 0.000 0.584 0.438
12 Ho 0.000 0.433 0.853
13 Ho 0.500 0.683 0.876
14 Ho 0.500 0.183 0.624
15 Dy 0.500 0.000 0.500
16 Dy 0.500 0.814 0.079
17 Dy 0.500 0.565 0.294
18 Ho 0.000 0.084 0.062
19 Dy 0.500 0.186 0.921
20 Dy 0.500 0.686 0.579
21 Ho 0.500 0.317 0.124
22 Ho 0.000 0.916 0.938
23 Dy 0.500 0.500 0.000
24 Ho 0.500 0.817 0.376
25 Ce 0.000 0.810 0.235
26 Ce 0.000 0.690 0.735

=====

(8)
## CeDy6Ho4 (PBE)

Data for CeDy6Ho4 after structural relaxation.

Values from the calculation:
The symmetry is Cmcm. The volume is 31.63 A^3/atom.

Unit cell a=5.703 b=5.556 c=25.593 alpha=90.00 beta=90.00 gamma=120.88
Positions (direct):
1 Ho 0.463 0.927 0.122
2 Dy 0.135 0.269 0.181
3 Ho 0.537 0.073 0.878
4 Ce 0.806 0.611 0.250
5 Ho 0.845 0.690 0.958
6 Ho 0.537 0.073 0.622
7 Dy 0.135 0.269 0.319
8 Dy 0.865 0.731 0.681
9 Ce 0.194 0.389 0.750
10 Dy 0.865 0.731 0.819
11 Ho 0.463 0.927 0.378
12 Dy 0.805 0.609 0.398
13 Dy 0.500 0.000 0.000
14 Dy 0.195 0.391 0.602
15 Dy 0.500 0.000 0.500
16 Ho 0.155 0.310 0.042
17 Dy 0.529 0.057 0.750
18 Dy 0.471 0.943 0.250
19 Ho 0.845 0.690 0.542
20 Ho 0.155 0.310 0.458
21 Dy 0.805 0.609 0.102
22 Dy 0.195 0.391 0.898

=====

no.,raw total energy (eV/atom),total magnetization (μB per atom),formation energy (eV/f.u.)
1,-4.454,0.013,2.687
2,-4.681,0.096,0.412
3,-4.451,0.084,4.061
4,-4.669,0.135,0.633
5,-4.666,0.099,1.716
6,-4.555,0.095,1.608
7,-4.666,0.099,1.690
8,-4.566,0.080,1.627